Run P
Compound: HoZnNO
Source: OQMD
Functional: PBE
Structure: relaxed

The value obtained for the density is 7.88 g/cm3.

It has space group Pca2_1 (No. 29), with a = 5.7200 Å, b = 7.7617 Å, c = 4.9424 Å, α = 90.00°, β = 90.00° and γ = 90.00°. The inequivalent atoms are Ho at (0.0463, 0.1467, 0.0000), Zn at (0.0606, 0.6208, 0.9804), N at (0.0592, 0.1378, 0.5174) and O at (0.0987, 0.5954, 0.5686).

Run Q
Compound: HoZnNO
Source: OQMD
Functional: PBE
Structure: relaxed

The value obtained for the density is 8.70 g/cm3.

It has space group P4/nmm (No. 129, origin choice 2), with a = 4.7543 Å, b = 4.7543 Å, c = 4.3968 Å, α = 90.00°, β = 90.00° and γ = 90.00°. The inequivalent atoms are Ho at (0.2500, 0.7500, 0.0000), Zn at (0.2500, 0.2500, 0.4995), N at (0.2500, 0.2500, 0.0015) and O at (0.2500, 0.7500, 0.5000).

run P wins, 38 meV per atom ahead of the next structure.

Run P
Compound: HoZrNO
Source: OQMD
Functional: PBE
Structure: relaxed

The value obtained for the density is 6.78 g/cm3.

It has space group P4/nmm (No. 129, origin choice 2), with a = 4.1557 Å, b = 4.1557 Å, c = 8.1113 Å, α = 90.00°, β = 90.00° and γ = 90.00°. The inequivalent atoms are Ho at (0.2500, 0.2500, 0.1128), Zr at (0.2500, 0.7500, 0.5000), N at (0.2500, 0.2500, 0.5764) and O at (0.2500, 0.7500, 0.0000).

Run Q
Compound: HoZrNO
Source: OQMD
Functional: PBE
Structure: relaxed

The value obtained for the density is 8.12 g/cm3.

It has space group Cmme (No. 67), with a = 6.2889 Å, b = 6.2965 Å, c = 5.9117 Å, α = 90.00°, β = 90.00° and γ = 90.00°. The inequivalent atoms are Ho at (0.2500, 0.0000, 0.0000), Zr at (0.0000, 0.2500, 0.4581), N at (0.0000, 0.2500, 0.1124) and O at (0.2500, 0.0000, 0.5000).

run P wins, 97 meV per atom ahead of the next structure.